(1)
# Ga2Co2Ni GGA-PBE relaxed
# * offset from the most stable computed form: 0.1566 eV per atom
# * total energy: -5.273 eV/atom
# * magnetization: 0.00 μB per cell
# * crystal system: tetragonal
# * ΔH_f (0 K): -31 kJ/mol of formula units
# * space-group type: No. 127
data_Ga2Co2Ni
_symmetry_space_group_name_H-M 'P 1'
_symmetry_Int_Tables_number 1
_symmetry_space_group_name_Hall 'P 1'
_cell_length_a 6.7140
_cell_length_b 6.7140
_cell_length_c 2.7551
_cell_angle_alpha 90.00
_cell_angle_beta 90.00
_cell_angle_gamma 90.00
loop_
_atom_site_label
_atom_site_type_symbol
_atom_site_fract_x
_atom_site_fract_y
_atom_site_fract_z
Ni1 Ni 0.0000 0.0000 0.0000
Ni2 Ni 0.5000 0.5000 0.0000
Co1 Co 0.1496 0.6496 0.5000
Co2 Co 0.6496 0.8504 0.5000
Co3 Co 0.8504 0.3504 0.5000
Co4 Co 0.3504 0.1496 0.5000
Ga1 Ga 0.3507 0.8507 0.0000
Ga2 Ga 0.8507 0.6493 0.0000
Ga3 Ga 0.6493 0.1493 0.0000
Ga4 Ga 0.1493 0.3507 0.0000

(2)
# Cd4In4Bi GGA-PBE relaxed
# * total energy: -2.010 eV/atom
# * magnetization: 0.00 μB per cell
# * crystal system: tetragonal
# * ΔH_f (0 K): 39 kJ/mol of formula units
# * space-group type: No. 139
data_Cd4In4Bi
_symmetry_space_group_name_H-M 'P 1'
_symmetry_Int_Tables_number 1
_symmetry_space_group_name_Hall 'P 1'
_cell_length_a 5.1181
_cell_length_b 7.2470
_cell_length_c 7.2470
_cell_angle_alpha 82.84
_cell_angle_beta 69.32
_cell_angle_gamma 69.32
loop_
_atom_site_label
_atom_site_type_symbol
_atom_site_fract_x
_atom_site_fract_y
_atom_site_fract_z
Cd1 Cd 0.0001 0.6564 0.3434
Cd2 Cd 0.9999 0.3436 0.6566
Cd3 Cd 0.6565 0.3434 0.3436
Cd4 Cd 0.3435 0.6566 0.6564
In1 In 0.3292 0.3418 0.9998
In2 In 0.6708 0.6582 0.0002
In3 In 0.6710 0.9998 0.6582
In4 In 0.3290 0.0002 0.3418
Bi1 Bi 0.0000 0.0000 0.0000

(3)
# CaIr GGA-PBE relaxed
# * total energy: -5.412 eV/atom
# * magnetization: 0.00 μB per cell
# * crystal system: tetragonal
# * ΔH_f (0 K): 4 kJ/mol of formula units
# * space-group type: No. 129
data_CaIr
_symmetry_space_group_name_H-M 'P 1'
_symmetry_Int_Tables_number 1
_symmetry_space_group_name_Hall 'P 1'
_cell_length_a 3.5361
_cell_length_b 3.5361
_cell_length_c 8.1836
_cell_angle_alpha 90.00
_cell_angle_beta 90.00
_cell_angle_gamma 90.00
loop_
_atom_site_label
_atom_site_type_symbol
_atom_site_fract_x
_atom_site_fract_y
_atom_site_fract_z
Ca1 Ca 0.0000 0.0000 0.9229
Ca2 Ca 0.5000 0.5000 0.3271
Ir1 Ir 0.0000 0.0000 0.5845
Ir2 Ir 0.5000 0.5000 0.6655

(4)
# Ce4ErTe5 GGA-PBE relaxed
# * total energy: -5.730 eV/atom
# * magnetization: 0.12 μB per cell
# * crystal system: tetragonal
# * space-group type: No. 139
# * raw formation energy: -1329 meV per atom
data_Ce4ErTe5
_symmetry_space_group_name_H-M 'P 1'
_symmetry_Int_Tables_number 1
_symmetry_space_group_name_Hall 'P 1'
_cell_length_a 4.4539
_cell_length_b 4.4539
_cell_length_c 16.0266
_cell_angle_alpha 97.99
_cell_angle_beta 97.99
_cell_angle_gamma 90.00
loop_
_atom_site_label
_atom_site_type_symbol
_atom_site_fract_x
_atom_site_fract_y
_atom_site_fract_z
Ce1 Ce 0.3993 0.3993 0.7987
Ce2 Ce 0.8017 0.8017 0.6034
Ce3 Ce 0.1983 0.1983 0.3966
Ce4 Ce 0.6007 0.6007 0.2013
Er1 Er 0.0000 0.0000 0.0000
Te1 Te 0.0969 0.0969 0.1938
Te2 Te 0.5000 0.5000 0.0000
Te3 Te 0.9031 0.9031 0.8062
Te4 Te 0.2991 0.2991 0.5982
Te5 Te 0.7009 0.7009 0.4018

Q: Look up the total energy of the fourth one.
A: -5.730 eV/atom